Record 1
The following is a DFT calculation (PBE) of a relaxed structure of LaSc4Re.

```
LaSc4Re
1.0
0.000 4.089 4.089
4.089 0.000 4.089
4.089 4.089 0.000
La Sc Re
1 4 1
direct
0.000 0.000 0.000
0.378 0.378 0.378
0.378 0.378 0.867
0.378 0.867 0.378
0.867 0.378 0.378
0.750 0.750 0.750
```

mass density = 6.13 Mg/m³
calculated total energy = -6.528 eV/atom
crystal system = cubic
V = 22.80 Å³/atom
space group = No. 216
energy of formation = 0.589 eV per atom

Record 2
The following is a DFT calculation (PBE) of a relaxed structure of Na4Sm3GeO8.

```
Na4Sm3GeO8
1.0
3.445 1.989 5.611
-3.445 1.989 5.611
0.000 -3.978 5.611
Na Sm Ge O
4 3 1 8
direct
0.000 0.000 0.000
0.000 0.500 0.500
0.500 0.000 0.500
0.500 0.500 0.000
0.000 0.000 0.500
0.000 0.500 0.000
0.500 0.000 0.000
0.500 0.500 0.500
0.239 0.239 0.239
0.257 0.727 0.727
0.273 0.273 0.743
0.273 0.743 0.273
0.727 0.257 0.727
0.727 0.727 0.257
0.743 0.273 0.273
0.761 0.761 0.761
```

mass density = 5.35 Mg/m³
calculated total energy = -6.277 eV/atom
crystal system = trigonal
energy relative to the elements, uncorrected = -2295 meV per atom
V = 14.41 Å³/atom
space group = No. 166

Record 3
The following is a DFT calculation (PBE) of a relaxed structure of LiSi2W.

```
LiSi2W
1.0
1.430 0.825 8.472
-1.430 0.825 8.472
0.000 -1.651 8.472
Li Si W
1 2 1
direct
0.000 0.000 0.000
0.251 0.251 0.251
0.510 0.510 0.510
0.763 0.763 0.763
```

mass density = 6.84 Mg/m³
calculated total energy = -6.135 eV/atom
crystal system = trigonal
energy relative to the elements, uncorrected = 293 meV per atom
V = 15.00 Å³/atom
space group = No. 160
energy above the lowest structure with this stoichiometry = 8.12 kcal/mol of atoms

Record 4
The following is a DFT calculation (PBE) of a relaxed structure of BeRe2Hg.

```
BeRe2Hg
1.0
3.101 0.000 0.000
0.000 4.300 0.000
0.000 0.000 4.571
Be Re Hg
1 2 1
direct
0.000 0.000 0.000
0.000 0.500 0.500
0.500 0.000 0.500
0.500 0.500 0.000
```

mass density = 15.86 Mg/m³
calculated total energy = -6.530 eV/atom
crystal system = orthorhombic
V = 15.24 Å³/atom
space group = No. 47
energy of formation = 0.701 eV per atom
energy above the lowest structure with this stoichiometry = 10.47 kcal/mol of atoms

Record 5
The following is a DFT calculation (PBE) of a relaxed structure of NaMg2GeF.

```
NaMg2GeF
1.0
5.308 0.000 0.000
0.000 5.308 0.000
0.000 0.000 4.463
Na Mg Ge F
1 2 1 1
direct
0.000 0.000 0.000
0.000 0.500 0.500
0.500 0.000 0.500
0.500 0.500 0.500
0.500 0.500 0.000
```

mass density = 2.16 Mg/m³
calculated total energy = -2.599 eV/atom
crystal system = tetragonal
energy relative to the elements, uncorrected = -399 meV per atom
V = 25.15 Å³/atom
space group = No. 123

Record 6
The following is a DFT calculation (PBE) of a relaxed structure of Na3TeN.

```
Na3TeN
1.0
5.836 0.000 0.000
0.000 5.836 0.000
0.000 0.000 5.836
Na Te N
3 1 1
direct
0.000 0.000 0.500
0.000 0.500 0.000
0.500 0.000 0.000
0.000 0.000 0.000
0.500 0.500 0.500
```

mass density = 1.76 Mg/m³
calculated total energy = -2.646 eV/atom
crystal system = cubic
energy relative to the elements, uncorrected = 439 meV per atom
V = 39.76 Å³/atom
space group = No. 221
energy above the lowest structure with this stoichiometry = 10.52 kcal/mol of atoms

Record 7
The following is a DFT calculation (PBE) of a relaxed structure of Nd7YMg2.

```
Nd7YMg2
1.0
4.435 -8.388 0.000
4.435 8.388 0.000
0.000 0.000 5.381
Nd Y Mg
7 1 2
direct
0.000 0.000 0.000
0.201 0.430 0.000
0.287 0.713 0.500
0.430 0.201 0.000
0.570 0.799 0.000
0.713 0.287 0.500
0.799 0.570 0.000
0.500 0.500 0.500
0.202 0.798 0.000
0.798 0.202 0.000
```

mass density = 4.76 Mg/m³
calculated total energy = -3.789 eV/atom
crystal system = orthorhombic
V = 40.04 Å³/atom
space group = No. 65
energy of formation = 0.514 eV per atom

Record 8
The following is a DFT calculation (PBE) of a relaxed structure of Pm6NbSe12.

```
Pm6NbSe12
1.0
6.266 3.618 3.992
-6.266 3.618 3.992
0.000 -7.236 3.992
Pm Nb Se
6 1 12
direct
0.135 0.639 0.305
0.305 0.135 0.639
0.361 0.695 0.865
0.639 0.305 0.135
0.695 0.865 0.361
0.865 0.361 0.695
0.000 0.000 0.000
0.018 0.685 0.936
0.064 0.982 0.315
0.180 0.433 0.577
0.315 0.064 0.982
0.423 0.820 0.567
0.433 0.577 0.180
0.567 0.423 0.820
0.577 0.180 0.433
0.685 0.936 0.018
0.820 0.567 0.423
0.936 0.018 0.685
0.982 0.315 0.064
```

mass density = 5.84 Mg/m³
calculated total energy = -5.769 eV/atom
crystal system = trigonal
energy relative to the elements, uncorrected = -1538 meV per atom
V = 28.58 Å³/atom
space group = No. 148

Record 9
The following is a DFT calculation (PBE) of a relaxed structure of TaCoSeBr2.

```
TaCoSeBr2
1.0
5.163 0.000 0.000
0.000 5.163 0.000
0.000 0.000 5.030
Ta Co Se Br
1 1 1 2
direct
0.000 0.000 0.000
0.500 0.500 0.500
0.000 0.000 0.500
0.000 0.500 0.000
0.500 0.000 0.000
```

mass density = 5.93 Mg/m³
calculated total energy = -4.602 eV/atom
crystal system = tetragonal
energy relative to the elements, uncorrected = 556 meV per atom
V = 26.82 Å³/atom
space group = No. 123
energy above the lowest structure with this stoichiometry = 0.00 kcal/mol of atoms

Record 10
The following is a DFT calculation (PBE) of a relaxed structure of Tl2HgF.

```
Tl2HgF
1.0
25.472 0.000 0.000
0.000 3.549 0.000
0.000 0.000 4.998
Tl Hg F
8 4 4
direct
0.031 0.250 0.250
0.196 0.750 0.245
0.304 0.250 0.745
0.469 0.750 0.750
0.531 0.250 0.250
0.696 0.750 0.255
0.804 0.250 0.755
0.969 0.750 0.750
0.111 0.250 0.748
0.389 0.750 0.248
0.611 0.250 0.752
0.889 0.750 0.252
0.234 0.750 0.745
0.266 0.250 0.245
0.734 0.750 0.755
0.766 0.250 0.255
```

mass density = 9.24 Mg/m³
calculated total energy = -2.524 eV/atom
crystal system = orthorhombic
energy relative to the elements, uncorrected = -798 meV per atom
V = 28.24 Å³/atom
space group = No. 62
energy above the lowest structure with this stoichiometry = 0.01 kcal/mol of atoms

Record 11
The following is a DFT calculation (PBE) of a relaxed structure of PrNdEr2Th.

```
PrNdEr2Th
1.0
6.275 0.000 0.000
0.000 5.822 0.000
-3.130 0.000 9.120
Pr Nd Er Th
2 2 4 2
direct
0.074 0.250 0.296
0.926 0.750 0.704
0.276 0.250 0.704
0.724 0.750 0.296
0.331 0.750 0.494
0.456 0.250 0.097
0.544 0.750 0.903
0.669 0.250 0.506
0.131 0.750 0.090
0.869 0.250 0.910
```

mass density = 8.49 Mg/m³
calculated total energy = -5.173 eV/atom
crystal system = monoclinic
V = 33.32 Å³/atom
space group = No. 11
energy of formation = 0.045 eV per atom

Record 12
The following is a DFT calculation (PBE) of a relaxed structure of Mg2Sc.

```
Mg2Sc
1.0
-1.554 2.415 4.647
1.554 -2.415 4.647
1.554 2.415 -4.647
Mg Sc
2 1
direct
0.165 0.165 0.000
0.835 0.835 0.000
0.500 0.500 0.000
```

mass density = 2.23 Mg/m³
calculated total energy = -3.150 eV/atom
crystal system = orthorhombic
V = 23.25 Å³/atom
space group = No. 71
energy of formation = 0.024 eV per atom

Record 13
The following is a DFT calculation (PBE) of a relaxed structure of Tb3Nd3Th2.

```
Tb3Nd3Th2
1.0
6.239 0.000 0.000
-2.079 5.895 0.000
-2.087 -2.938 7.227
Tb Nd Th
3 3 2
direct
0.000 0.000 0.000
0.128 0.628 0.256
0.872 0.372 0.744
0.369 0.869 0.738
0.500 0.500 0.000
0.631 0.131 0.262
0.249 0.249 0.497
0.751 0.751 0.503
```

mass density = 8.58 Mg/m³
calculated total energy = -5.335 eV/atom
crystal system = triclinic
V = 33.22 Å³/atom
space group = No. 2
energy of formation = 0.044 eV per atom
energy above the lowest structure with this stoichiometry = 0.25 kcal/mol of atoms

Record 14
The following is a DFT calculation (PBE) of a relaxed structure of Dy3Si4Ag2.

```
Dy3Si4Ag2
1.0
5.347 -2.131 0.000
5.347 2.131 0.000
-2.078 0.000 7.967
Dy Si Ag
3 4 2
direct
0.000 0.000 0.000
0.341 0.341 0.325
0.659 0.659 0.675
0.058 0.058 0.395
0.278 0.278 0.952
0.722 0.722 0.048
0.942 0.942 0.605
0.380 0.380 0.716
0.620 0.620 0.284
```

mass density = 7.46 Mg/m³
calculated total energy = -5.164 eV/atom
crystal system = monoclinic
energy relative to the elements, uncorrected = -586 meV per atom
V = 20.18 Å³/atom
space group = No. 12

Record 15
The following is a DFT calculation (PBE) of a relaxed structure of YThCu.

```
YThCu
1.0
3.545 0.000 0.000
-1.769 6.397 0.000
-0.003 -1.845 6.773
Y Th Cu
2 2 2
direct
0.138 0.276 0.068
0.862 0.724 0.932
0.153 0.304 0.583
0.847 0.696 0.417
0.492 0.987 0.731
0.508 0.013 0.269
```

mass density = 8.31 Mg/m³
calculated total energy = -6.071 eV/atom
crystal system = triclinic
V = 25.60 Å³/atom
space group = No. 2
energy of formation = -0.078 eV per atom
energy above the lowest structure with this stoichiometry = 0.61 kcal/mol of atoms

Record 16
The following is a DFT calculation (PBE) of a relaxed structure of RbBaReCl2.

```
RbBaReCl2
1.0
5.481 0.000 0.000
0.000 5.481 0.000
0.000 0.000 5.335
Rb Ba Re Cl
1 1 1 2
direct
0.000 0.000 0.000
0.500 0.500 0.000
0.500 0.500 0.500
0.000 0.500 0.500
0.500 0.000 0.500
```

mass density = 4.97 Mg/m³
calculated total energy = -3.609 eV/atom
crystal system = tetragonal
energy relative to the elements, uncorrected = 198 meV per atom
V = 32.05 Å³/atom
space group = No. 123

Record 17
The following is a DFT calculation (PBE) of a relaxed structure of ZrTe2NCl.

```
ZrTe2NCl
1.0
5.281 0.000 0.000
0.000 5.281 0.000
0.000 0.000 3.832
Zr Te N Cl
1 2 1 1
direct
0.000 0.000 0.000
0.000 0.500 0.500
0.500 0.000 0.500
0.500 0.500 0.000
0.500 0.500 0.500
```

mass density = 6.15 Mg/m³
calculated total energy = -3.923 eV/atom
crystal system = tetragonal
energy relative to the elements, uncorrected = 1078 meV per atom
V = 21.38 Å³/atom
space group = No. 123
energy above the lowest structure with this stoichiometry = 21.49 kcal/mol of atoms

Record 18
The following is a DFT calculation (PBE) of a relaxed structure of SnHBr2.

```
SnHBr2
1.0
-3.940 3.940 4.077
3.940 -3.940 4.077
3.940 3.940 -4.077
Sn H Br
2 2 4
direct
0.000 0.000 0.000
0.750 0.250 0.500
0.250 0.750 0.500
0.500 0.500 0.000
0.112 0.625 0.987
0.375 0.362 0.487
0.638 0.125 0.013
0.875 0.888 0.513
```

mass density = 3.67 Mg/m³
calculated total energy = -2.576 eV/atom
crystal system = tetragonal
V = 31.64 Å³/atom
space group = No. 122

Record 19
The following is a DFT calculation (PBE) of a relaxed structure of La2Ge4Pt3Rh.

```
La2Ge4Pt3Rh
1.0
4.371 0.000 0.000
0.000 4.371 0.000
0.000 0.000 10.241
La Ge Pt Rh
2 4 3 1
direct
0.000 0.500 0.246
0.500 0.000 0.754
0.000 0.000 0.000
0.000 0.500 0.628
0.500 0.000 0.372
0.500 0.500 0.000
0.000 0.500 0.872
0.500 0.000 0.128
0.500 0.500 0.500
0.000 0.000 0.500
```

mass density = 10.67 Mg/m³
calculated total energy = -6.350 eV/atom
crystal system = tetragonal
V = 19.56 Å³/atom
space group = No. 115
energy of formation = -0.970 eV per atom

Record 20
The following is a DFT calculation (PBE) of a relaxed structure of PmHfTh2.

```
PmHfTh2
1.0
4.939 0.000 0.000
0.000 4.939 0.000
0.000 0.000 4.909
Pm Hf Th
1 1 2
direct
0.000 0.000 0.000
0.500 0.500 0.000
0.000 0.500 0.500
0.500 0.000 0.500
```

mass density = 10.92 Mg/m³
calculated total energy = -7.213 eV/atom
crystal system = tetragonal
V = 29.94 Å³/atom
space group = No. 123
energy of formation = 0.173 eV per atom
energy above the lowest structure with this stoichiometry = 1.16 kcal/mol of atoms

Record 21
The following is a DFT calculation (PBE) of a relaxed structure of KAs.

```
KAs
1.0
6.551 0.000 0.000
0.000 6.787 0.000
0.000 0.000 11.729
K As
8 8
direct
0.100 0.106 0.418
0.166 0.354 0.789
0.334 0.646 0.289
0.400 0.894 0.918
0.600 0.394 0.582
0.666 0.146 0.211
0.834 0.854 0.711
0.900 0.606 0.082
0.093 0.564 0.533
0.168 0.180 0.112
0.332 0.820 0.612
0.407 0.436 0.033
0.593 0.936 0.467
0.668 0.320 0.888
0.832 0.680 0.388
0.907 0.064 0.967
```

mass density = 2.90 Mg/m³
calculated total energy = -3.337 eV/atom
crystal system = orthorhombic
V = 32.60 Å³/atom
space group = No. 19
energy of formation = -0.464 eV per atom
energy above the lowest structure with this stoichiometry = 0.00 kcal/mol of atoms

Record 22
The following is a DFT calculation (PBE) of a relaxed structure of ScInCl2.

```
ScInCl2
1.0
3.611 0.000 0.000
0.000 3.611 0.000
0.000 0.000 7.122
Sc In Cl
1 1 2
direct
0.000 0.000 0.000
0.500 0.500 0.669
0.000 0.000 0.355
0.500 0.500 0.084
```

mass density = 4.12 Mg/m³
calculated total energy = -4.242 eV/atom
crystal system = tetragonal
energy relative to the elements, uncorrected = -1051 meV per atom
V = 23.22 Å³/atom
space group = No. 99
energy above the lowest structure with this stoichiometry = 5.05 kcal/mol of atoms

Record 23
The following is a DFT calculation (PBE) of a relaxed structure of CsBeCd2C.

```
CsBeCd2C
1.0
7.542 0.000 0.000
0.000 7.542 0.000
0.000 0.000 4.989
Cs Be Cd C
1 1 2 1
direct
0.000 0.000 0.000
0.500 0.500 0.500
0.000 0.500 0.000
0.500 0.000 0.000
0.000 0.000 0.500
```

mass density = 2.22 Mg/m³
calculated total energy = -0.887 eV/atom
crystal system = tetragonal
V = 56.76 Å³/atom
space group = No. 123
energy of formation = 2.239 eV per atom

Record 24
The following is a DFT calculation (PBE) of a relaxed structure of Li2Cu5Ge3.

```
Li2Cu5Ge3
1.0
4.639 -5.909 0.000
4.639 5.909 0.000
-0.657 0.000 5.104
Li Cu Ge
4 10 6
direct
0.119 0.634 0.884
0.366 0.881 0.616
0.634 0.119 0.384
0.881 0.366 0.116
0.034 0.966 0.750
0.213 0.281 0.988
0.233 0.530 0.361
0.281 0.213 0.488
0.470 0.767 0.139
0.530 0.233 0.861
0.719 0.787 0.512
0.767 0.470 0.639
0.787 0.719 0.012
0.966 0.034 0.250
0.013 0.714 0.389
0.286 0.987 0.111
0.458 0.542 0.750
0.542 0.458 0.250
0.714 0.013 0.889
0.987 0.286 0.611
```

mass density = 6.52 Mg/m³
calculated total energy = -3.913 eV/atom
crystal system = monoclinic
V = 13.99 Å³/atom
space group = No. 15
energy of formation = -0.097 eV per atom